Sc2MoF (PBE with a Hubbard U, relaxed); magnetic moment = 2.88 μB/cell; total DFT energy (no corrections) = -5.3914 eV per atom
1.0
3.7801 -3.0412 0.2194
1.5239 -1.6736 4.2968
-0.6975 -4.6598 1.1770
Mo Sc F
1 2 1
direct
0.5000 0.5000 0.5000 Mo
0.2500 0.2500 0.2500 Sc
0.7500 0.7500 0.7500 Sc
0.0000 0.0000 0.0000 F